## BeTl2Cu2 (GGA-PBE)

Data for a relaxed structure of BeTl2Cu2.

The value obtained for the excess energy over the best structure of this formula in the dataset is 15.1 kJ per mole of atoms. As for the magnetization: 0.0 μB per cell. For the total energy, the calculation gives -2.725 eV/atom.

The structure in CIF format:
```
data_BeTl2Cu2
_cell_length_a 7.020
_cell_length_b 7.020
_cell_length_c 3.835
_cell_angle_alpha 90.00
_cell_angle_beta 90.00
_cell_angle_gamma 90.00
_symmetry_space_group_name_H-M 'P 4/m b m'
_symmetry_Int_Tables_number 127
_symmetry_space_group_name_Hall '-P 4 2ab'
loop_
_atom_site_label
_atom_site_type_symbol
_atom_site_fract_x
_atom_site_fract_y
_atom_site_fract_z
Be1 Be 0.000 0.000 0.000
Tl1 Tl 0.174 0.326 0.000
Cu1 Cu 0.125 0.625 0.500
```

## Be2TlCu (GGA-PBE)

Data for a relaxed structure of Be2TlCu.

The value obtained for the excess energy over the best structure of this formula in the dataset is 36.0 kJ per mole of atoms. As for the magnetization: 0.0 μB per cell. For the total energy, the calculation gives -2.801 eV/atom.

The structure in CIF format:
```
data_Be2TlCu
_cell_length_a 6.091
_cell_length_b 6.091
_cell_length_c 6.091
_cell_angle_alpha 90.00
_cell_angle_beta 90.00
_cell_angle_gamma 90.00
_symmetry_space_group_name_H-M 'F -4 3 m'
_symmetry_Int_Tables_number 216
_symmetry_space_group_name_Hall 'F -4 2 3'
loop_
_atom_site_label
_atom_site_type_symbol
_atom_site_fract_x
_atom_site_fract_y
_atom_site_fract_z
Be1 Be 0.000 0.000 0.000
Be2 Be 0.250 0.250 0.250
Tl1 Tl 0.250 0.250 0.750
Cu1 Cu 0.000 0.000 0.500
```

## Be2TlCu (GGA-PBE)

Data for a relaxed structure of Be2TlCu.

The value obtained for the excess energy over the best structure of this formula in the dataset is 13.0 kJ per mole of atoms. As for the magnetization: 0.0 μB per cell. For the total energy, the calculation gives -3.039 eV/atom.

The structure in CIF format:
```
data_Be2TlCu
_cell_length_a 2.927
_cell_length_b 3.652
_cell_length_c 5.442
_cell_angle_alpha 90.00
_cell_angle_beta 90.31
_cell_angle_gamma 90.00
_symmetry_space_group_name_H-M 'P 1 m 1'
_symmetry_Int_Tables_number 6
loop_
_symmetry_equiv_pos_as_xyz
'x,y,z'
'x,-y,z'
loop_
_atom_site_label
_atom_site_type_symbol
_atom_site_fract_x
_atom_site_fract_y
_atom_site_fract_z
Be1 Be 0.000 0.000 0.000
Be2 Be 0.005 0.500 0.252
Tl1 Tl 0.506 0.000 0.523
Cu1 Cu 0.501 0.500 0.943
```

## Be2TlCu (GGA-PBE)

Data for a relaxed structure of Be2TlCu.

The value obtained for the excess energy over the best structure of this formula in the dataset is 11.8 kJ per mole of atoms. As for the magnetization: 0.0 μB per cell. For the total energy, the calculation gives -3.051 eV/atom.

The structure in CIF format:
```
data_Be2TlCu
_cell_length_a 2.853
_cell_length_b 2.853
_cell_length_c 7.336
_cell_angle_alpha 90.00
_cell_angle_beta 90.00
_cell_angle_gamma 90.00
_symmetry_space_group_name_H-M 'P 4 m m'
_symmetry_Int_Tables_number 99
loop_
_symmetry_equiv_pos_as_xyz
'x,y,z'
'-y,x,z'
'-x,-y,z'
'y,-x,z'
'-x,y,z'
'y,x,z'
'x,-y,z'
'-y,-x,z'
loop_
_atom_site_label
_atom_site_type_symbol
_atom_site_fract_x
_atom_site_fract_y
_atom_site_fract_z
Be1 Be 0.000 0.000 0.000
Be2 Be 0.500 0.500 0.144
Tl1 Tl 0.500 0.500 0.661
Cu1 Cu 0.000 0.000 0.312
```

## TmBe2Cu3 (GGA-PBE)

Data for a relaxed structure of TmBe2Cu3.

As for the magnetization: 0.0 μB per cell. For the total energy, the calculation gives -4.226 eV/atom.

The structure in CIF format:
```
data_TmBe2Cu3
_cell_length_a 8.5888
_cell_length_b 8.5888
_cell_length_c 3.7142
_cell_angle_alpha 90.00
_cell_angle_beta 90.00
_cell_angle_gamma 120.00
_symmetry_space_group_name_H-M 'P 6/m m m'
_symmetry_Int_Tables_number 191
_symmetry_space_group_name_Hall '-P 6 2'
loop_
_atom_site_label
_atom_site_type_symbol
_atom_site_fract_x
_atom_site_fract_y
_atom_site_fract_z
Tm1 Tm 0.0000 0.0000 0.0000
Tm2 Tm 0.3333 0.6667 0.5000
Be1 Be 0.1881 0.3761 0.0000
Cu1 Cu 0.0000 0.2907 0.5000
Cu2 Cu 0.0000 0.5000 0.0000
```

## TmBe4Cu4 (GGA-PBE)

Data for a relaxed structure of TmBe4Cu4.

As for the magnetization: 0.0 μB per cell. For the total energy, the calculation gives -3.983 eV/atom.

The structure in CIF format:
```
data_TmBe4Cu4
_cell_length_a 7.655
_cell_length_b 7.655
_cell_length_c 3.946
_cell_angle_alpha 90.00
_cell_angle_beta 90.00
_cell_angle_gamma 90.00
_symmetry_space_group_name_H-M 'I 4/m'
_symmetry_Int_Tables_number 87
_symmetry_space_group_name_Hall '-I 4'
loop_
_atom_site_label
_atom_site_type_symbol
_atom_site_fract_x
_atom_site_fract_y
_atom_site_fract_z
Tm1 Tm 0.000 0.000 0.000
Be1 Be 0.170 0.283 0.500
Cu1 Cu 0.105 0.615 0.500
```

## TmBe3Cu10 (GGA-PBE)

Data for a relaxed structure of TmBe3Cu10.

As for the magnetization: 0.0 μB per cell. For the total energy, the calculation gives -4.040 eV/atom.

The structure in CIF format:
```
data_TmBe3Cu10
_cell_length_a 11.220
_cell_length_b 11.220
_cell_length_c 11.220
_cell_angle_alpha 90.00
_cell_angle_beta 90.00
_cell_angle_gamma 90.00
_symmetry_space_group_name_H-M 'F m -3 m'
_symmetry_Int_Tables_number 225
_symmetry_space_group_name_Hall '-F 4 2 3'
loop_
_atom_site_label
_atom_site_type_symbol
_atom_site_fract_x
_atom_site_fract_y
_atom_site_fract_z
Tm1 Tm 0.250 0.250 0.250
Be1 Be 0.000 0.000 0.236
Cu1 Cu 0.000 0.172 0.328
Cu2 Cu 0.112 0.112 0.112
```

## TmBe2Cu (GGA-PBE)

Data for a relaxed structure of TmBe2Cu.

As for the magnetization: 0.0 μB per cell. For the total energy, the calculation gives -4.122 eV/atom.

The structure in CIF format:
```
data_TmBe2Cu
_cell_length_a 3.7950
_cell_length_b 3.7950
_cell_length_c 14.1834
_cell_angle_alpha 90.00
_cell_angle_beta 90.00
_cell_angle_gamma 120.00
_symmetry_space_group_name_H-M 'R -3 m'
_symmetry_Int_Tables_number 166
_symmetry_space_group_name_Hall '-R 3 2"'
loop_
_atom_site_label
_atom_site_type_symbol
_atom_site_fract_x
_atom_site_fract_y
_atom_site_fract_z
Tm1 Tm 0.0000 0.0000 0.0000
Be1 Be 0.0000 0.0000 0.1951
Cu1 Cu 0.0000 0.0000 0.5000
```

## TmBe2Cu10 (GGA-PBE)

Data for a relaxed structure of TmBe2Cu10.

As for the magnetization: 0.0 μB per cell. For the total energy, the calculation gives -4.190 eV/atom.

The structure in CIF format:
```
data_TmBe2Cu10
_cell_length_a 4.706
_cell_length_b 11.617
_cell_length_c 11.910
_cell_angle_alpha 90.00
_cell_angle_beta 90.00
_cell_angle_gamma 90.00
_symmetry_space_group_name_H-M 'F m m m'
_symmetry_Int_Tables_number 69
_symmetry_space_group_name_Hall '-F 2 2'
loop_
_atom_site_label
_atom_site_type_symbol
_atom_site_fract_x
_atom_site_fract_y
_atom_site_fract_z
Tm1 Tm 0.000 0.000 0.000
Be1 Be 0.250 0.000 0.250
Cu1 Cu 0.000 0.107 0.383
Cu2 Cu 0.000 0.171 0.180
Cu3 Cu 0.250 0.250 0.000
```

## TmBe5Cu7 (GGA-PBE)

Data for a relaxed structure of TmBe5Cu7.

As for the magnetization: 0.0 μB per cell. For the total energy, the calculation gives -4.135 eV/atom.

The structure in CIF format:
```
data_TmBe5Cu7
_cell_length_a 4.497
_cell_length_b 8.128
_cell_length_c 8.132
_cell_angle_alpha 90.00
_cell_angle_beta 90.00
_cell_angle_gamma 90.00
_symmetry_space_group_name_H-M 'I m m 2'
_symmetry_Int_Tables_number 44
loop_
_symmetry_equiv_pos_as_xyz
'x,y,z'
'-x,-y,z'
'-x,y,z'
'x,-y,z'
'x+1/2,y+1/2,z+1/2'
'-x+1/2,-y+1/2,z+1/2'
'-x+1/2,y+1/2,z+1/2'
'x+1/2,-y+1/2,z+1/2'
loop_
_atom_site_label
_atom_site_type_symbol
_atom_site_fract_x
_atom_site_fract_y
_atom_site_fract_z
Tm1 Tm 0.000 0.000 0.000
Be1 Be 0.000 0.500 0.262
Be2 Be 0.249 0.246 0.746
Cu1 Cu 0.000 0.000 0.352
Cu2 Cu 0.000 0.000 0.652
Cu3 Cu 0.000 0.287 0.491
Cu4 Cu 0.000 0.351 0.002
Cu5 Cu 0.000 0.500 0.722
```

## Tm6BeCu5 (GGA-PBE)

Data for a relaxed structure of Tm6BeCu5.

As for the magnetization: 0.0 μB per cell. For the total energy, the calculation gives -4.483 eV/atom.

The structure in CIF format:
```
data_Tm6BeCu5
_cell_length_a 4.828
_cell_length_b 6.796
_cell_length_c 7.630
_cell_angle_alpha 90.00
_cell_angle_beta 108.48
_cell_angle_gamma 90.00
_symmetry_space_group_name_H-M 'P 1 2/m 1'
_symmetry_Int_Tables_number 10
loop_
_symmetry_equiv_pos_as_xyz
'x,y,z'
'-x,-y,-z'
'-x,y,-z'
'x,-y,z'
loop_
_atom_site_label
_atom_site_type_symbol
_atom_site_fract_x
_atom_site_fract_y
_atom_site_fract_z
Tm1 Tm 0.000 0.249 0.000
Tm2 Tm 0.334 0.249 0.668
Be1 Be 0.500 0.000 0.000
Cu1 Cu 0.161 0.000 0.326
Cu2 Cu 0.167 0.500 0.335
Cu3 Cu 0.500 0.500 0.000
```

## TmBe2Cu5 (GGA-PBE)

Data for a relaxed structure of TmBe2Cu5.

As for the magnetization: 0.0 μB per cell. For the total energy, the calculation gives -4.149 eV/atom.

The structure in CIF format:
```
data_TmBe2Cu5
_cell_length_a 3.505
_cell_length_b 6.727
_cell_length_c 8.880
_cell_angle_alpha 90.00
_cell_angle_beta 90.00
_cell_angle_gamma 90.00
_symmetry_space_group_name_H-M 'I m m m'
_symmetry_Int_Tables_number 71
_symmetry_space_group_name_Hall '-I 2 2'
loop_
_atom_site_label
_atom_site_type_symbol
_atom_site_fract_x
_atom_site_fract_y
_atom_site_fract_z
Tm1 Tm 0.000 0.000 0.000
Be1 Be 0.000 0.500 0.250
Cu1 Cu 0.000 0.190 0.348
Cu2 Cu 0.000 0.500 0.000
```